Material: Y2HfIr
Method: DFT, PBE-GGA
State: optimized geometry

Values from the calculation:
* final energy: -7.94 eV per atom
* spin magnetization: 0.0 μB per formula unit
* formation enthalpy at 0 K: -1 kJ/mol of formula units

Lattice parameters (Å, degrees): 8.4655 8.4655 5.7840 90.00 90.00 90.00
Closest atoms and distances in Å follow each position.
Space group I-42d (No. 122)
Asymmetric unit:
Y  0.1817  0.2500  0.1250 (multiplicity 8)  2 Ir 2.71
Hf  0.0000  0.0000  0.5000 (multiplicity 4)  2 Ir 2.89
Ir  0.0000  0.0000  0.0000 (multiplicity 4)  4 Y 2.71, 2 Hf 2.89

***

Material: Sb2TePdN
Method: DFT, PBE-GGA
State: optimized geometry

Values from the calculation:
* formation energy from raw total energies: 1.316 eV/atom
* final energy: -3.66 eV per atom
* spin magnetization: 2.8 μB per formula unit
* polymorph energy (0 for the lowest one): 0.733 eV/atom

Lattice parameters (Å, degrees): 5.2008 5.2008 5.4859 90.00 90.00 90.00
Closest atoms and distances in Å follow each position.
Space group P4/mmm (No. 123)
Asymmetric unit:
Sb  0.0000  0.5000  0.0000 (multiplicity 2)  2 Pd 2.60
Te  0.0000  0.0000  0.5000 (multiplicity 1)  2 Pd 2.74
Pd  0.0000  0.0000  0.0000 (multiplicity 1)  4 Sb 2.60, 2 Te 2.74
N  0.5000  0.5000  0.5000 (multiplicity 1)  4 Te 3.68, 8 Sb 3.78

***

Which value of final energy does entry 2 give? -3.66 eV per atom

***

Copy entry 1 word for word.
Material: Y2HfIr
Method: DFT, PBE-GGA
State: optimized geometry

Values from the calculation:
* final energy: -7.94 eV per atom
* spin magnetization: 0.0 μB per formula unit
* formation enthalpy at 0 K: -1 kJ/mol of formula units

Lattice parameters (Å, degrees): 8.4655 8.4655 5.7840 90.00 90.00 90.00
Closest atoms and distances in Å follow each position.
Space group I-42d (No. 122)
Asymmetric unit:
Y  0.1817  0.2500  0.1250 (multiplicity 8)  2 Ir 2.71
Hf  0.0000  0.0000  0.5000 (multiplicity 4)  2 Ir 2.89
Ir  0.0000  0.0000  0.0000 (multiplicity 4)  4 Y 2.71, 2 Hf 2.89